# 1
# SiTe2As (GGA-PBE, relaxed)
# Formation energy (no corrections) in eV/atom: 0.26
# Distance to the lowest polymorph of the same formula in kJ/mol of formula units: 48
# Calculated density in Mg/m³: 5.81
data_SiTe2As
_cell_length_a 8.2489
_cell_length_b 8.2575
_cell_length_c 3.0083
_cell_angle_alpha 90.00
_cell_angle_beta 90.53
_cell_angle_gamma 90.00
_symmetry_space_group_name_H-M 'C 1 2/m 1'
_symmetry_Int_Tables_number 12
loop_
_symmetry_equiv_pos_as_xyz
'x,y,z'
'-x,-y,-z'
'-x,y,-z'
'x,-y,z'
'x+1/2,y+1/2,z'
'-x+1/2,-y+1/2,-z'
'-x+1/2,y+1/2,-z'
'x+1/2,-y+1/2,z'
loop_
_atom_site_label
_atom_site_type_symbol
_atom_site_fract_x
_atom_site_fract_y
_atom_site_fract_z
_atom_site_occupancy
Si1 Si 0.0000 0.0000 0.0000 1
Te1 Te 0.2500 0.2500 0.0000 1
As1 As 0.0000 0.5000 0.0000 1

---

# 2
# AlP2Au (GGA-PBE, relaxed)
# Calculated density in Mg/m³: 6.71
# DFT formation energy in meV/atom: -82
data_AlP2Au
_cell_length_a 6.9297
_cell_length_b 3.2815
_cell_length_c 6.6463
_cell_angle_alpha 90.00
_cell_angle_beta 110.63
_cell_angle_gamma 90.00
_symmetry_space_group_name_H-M 'C 1 m 1'
_symmetry_Int_Tables_number 8
loop_
_symmetry_equiv_pos_as_xyz
'x,y,z'
'x,-y,z'
'x+1/2,y+1/2,z'
'x+1/2,-y+1/2,z'
loop_
_atom_site_label
_atom_site_type_symbol
_atom_site_fract_x
_atom_site_fract_y
_atom_site_fract_z
_atom_site_occupancy
Al1 Al 0.0000 0.0000 0.0000 1
P1 P 0.0937 0.5000 0.5176 1
P2 P 0.2017 0.0000 0.7611 1
Au1 Au 0.2774 0.5000 0.2563 1

---

# 3
# Th2HgAu3 (GGA-PBE, relaxed)
# Distance to the lowest polymorph of the same formula in kJ/mol of formula units: 0
# Calculated density in Mg/m³: 14.83
# DFT formation energy in meV/atom: -608
data_Th2HgAu3
_cell_length_a 6.7711
_cell_length_b 9.8112
_cell_length_c 16.9323
_cell_angle_alpha 90.00
_cell_angle_beta 90.00
_cell_angle_gamma 90.00
_symmetry_space_group_name_H-M 'F m m m'
_symmetry_Int_Tables_number 69
_symmetry_space_group_name_Hall '-F 2 2'
loop_
_atom_site_label
_atom_site_type_symbol
_atom_site_fract_x
_atom_site_fract_y
_atom_site_fract_z
_atom_site_occupancy
Th1 Th 0.2439 0.0000 0.0000 1
Th2 Th 0.2500 0.2500 0.2500 1
Hg1 Hg 0.0000 0.0000 0.3337 1
Au1 Au 0.0000 0.0000 0.1662 1
Au2 Au 0.0000 0.2495 0.0831 1

---

# 4
# Sm2NpOs2 (GGA-PBE, relaxed)
# Calculated density in Mg/m³: 13.13
# DFT formation energy in meV/atom: -105
data_Sm2NpOs2
_cell_length_a 9.9547
_cell_length_b 5.9153
_cell_length_c 8.0313
_cell_angle_alpha 90.00
_cell_angle_beta 100.88
_cell_angle_gamma 90.00
_symmetry_space_group_name_H-M 'C 1 2/c 1'
_symmetry_Int_Tables_number 15
loop_
_symmetry_equiv_pos_as_xyz
'x,y,z'
'-x,-y,-z'
'-x,y,-z+1/2'
'x,-y,z+1/2'
'x+1/2,y+1/2,z'
'-x+1/2,-y+1/2,-z'
'-x+1/2,y+1/2,-z+1/2'
'x+1/2,-y+1/2,z+1/2'
loop_
_atom_site_label
_atom_site_type_symbol
_atom_site_fract_x
_atom_site_fract_y
_atom_site_fract_z
_atom_site_occupancy
Sm1 Sm 0.1500 0.1326 0.1511 1
Np1 Np 0.0000 0.3704 0.7500 1
Os1 Os 0.1321 0.3662 0.5072 1

---

# 5
# Pu3Ge2Rh3 (GGA-PBE, relaxed)
# Calculated density in Mg/m³: 12.33
# DFT formation energy in meV/atom: -592
data_Pu3Ge2Rh3
_cell_length_a 7.5755
_cell_length_b 14.9371
_cell_length_c 5.6477
_cell_angle_alpha 90.00
_cell_angle_beta 90.00
_cell_angle_gamma 90.00
_symmetry_space_group_name_H-M 'P n m a'
_symmetry_Int_Tables_number 62
loop_
_symmetry_equiv_pos_as_xyz
'x,y,z'
'-x,-y,-z'
'-x+1/2,-y,z+1/2'
'x+1/2,y,-z+1/2'
'x+1/2,-y+1/2,-z+1/2'
'-x+1/2,y+1/2,z+1/2'
'-x,y+1/2,-z'
'x,-y+1/2,z'
loop_
_atom_site_label
_atom_site_type_symbol
_atom_site_fract_x
_atom_site_fract_y
_atom_site_fract_z
_atom_site_occupancy
Pu1 Pu 0.0284 0.1083 0.1412 1
Pu2 Pu 0.1754 0.2500 0.5935 1
Ge1 Ge 0.1166 0.6084 0.3529 1
Rh1 Rh 0.1750 0.0323 0.5840 1
Rh2 Rh 0.1886 0.7500 0.6092 1

---

# 6
# Ca2SbPd3Au12 (GGA-PBE, relaxed)
# Formation energy (no corrections) in eV/atom: -0.04
# Calculated density in Mg/m³: 11.85
data_Ca2SbPd3Au12
_cell_length_a 7.1578
_cell_length_b 7.1578
_cell_length_c 27.3268
_cell_angle_alpha 90.00
_cell_angle_beta 90.00
_cell_angle_gamma 120.00
_symmetry_space_group_name_H-M 'R -3 m'
_symmetry_Int_Tables_number 166
_symmetry_space_group_name_Hall '-R 3 2"'
loop_
_atom_site_label
_atom_site_type_symbol
_atom_site_fract_x
_atom_site_fract_y
_atom_site_fract_z
_atom_site_occupancy
Ca1 Ca 0.0000 0.0000 0.1434 1
Sb1 Sb 0.0000 0.0000 0.5000 1
Pd1 Pd 0.0000 0.5000 0.0000 1
Au1 Au 0.0147 0.5074 0.8953 1
Au2 Au 0.0769 0.5384 0.6189 1

---

no.,calculated total energy (eV/atom)
1,-3.833
2,-4.542
3,-4.770
4,-9.072
5,-9.878
6,-3.546